# GGA-PBE CdCu2As, relaxed
data_CdCu2As
_cell_length_a 3.032
_cell_length_b 3.600
_cell_length_c 5.840
_cell_angle_alpha 90.00
_cell_angle_beta 90.16
_cell_angle_gamma 90.00
_symmetry_space_group_name_H-M 'P 1 2/m 1'
_symmetry_Int_Tables_number 10
loop_
_symmetry_equiv_pos_as_xyz
'x,y,z'
'-x,-y,-z'
'-x,y,-z'
'x,-y,z'
loop_
_atom_site_label
_atom_site_fract_x
_atom_site_fract_y
_atom_site_fract_z
_atom_site_occupancy
Cd1 0.000 0.000 0.000 1
Cu1 0.500 0.500 0.271 1
As1 0.000 0.000 0.500 1
# Total magnetic moment in Bohr magnetons per cell: 0.00
# Crystal system: monoclinic


# GGA-PBE Sm4CdPd, relaxed
data_Sm4CdPd
_cell_length_a 8.915
_cell_length_b 13.081
_cell_length_c 6.273
_cell_angle_alpha 90.00
_cell_angle_beta 107.29
_cell_angle_gamma 90.00
_symmetry_space_group_name_H-M 'C 1 2/c 1'
_symmetry_Int_Tables_number 15
loop_
_symmetry_equiv_pos_as_xyz
'x,y,z'
'-x,-y,-z'
'-x,y,-z+1/2'
'x,-y,z+1/2'
'x+1/2,y+1/2,z'
'-x+1/2,-y+1/2,-z'
'-x+1/2,y+1/2,-z+1/2'
'x+1/2,-y+1/2,z+1/2'
loop_
_atom_site_label
_atom_site_fract_x
_atom_site_fract_y
_atom_site_fract_z
_atom_site_occupancy
Sm1 0.106 0.178 0.050 1
Sm2 0.210 0.413 0.398 1
Cd1 0.000 0.381 0.750 1
Pd1 0.000 0.002 0.750 1
# Total magnetic moment in Bohr magnetons per cell: 0.00
# Crystal system: monoclinic


Calculated formation energy in eV/atom, matching the order above: 0.14 -0.31